1.
{
  "formula": "NiBIr2",
  "functional": "PBE",
  "state": "optimized geometry",
  "cell": [[0.0000, 2.9141, 2.9141], [2.9141, 0.0000, 2.9141], [2.9141, 2.9141, 0.0000]],
  "species": ["Ni", "B", "Ir", "Ir"],
  "frac_coords": [[0.0000, 0.0000, 0.0000], [0.2500, 0.2500, 0.2500], [0.5000, 0.5000, 0.5000], [0.7500, 0.7500, 0.7500]],
  "dft_energy_ev_per_atom": -6.82,
  "total_magnetization_mub_per_atom": 0.0016,
  "vol_a3_per_atom": 12.373
}

---

2.
{
  "formula": "NiB4Ir",
  "functional": "PBE",
  "state": "optimized geometry",
  "cell": [[3.0278, 0.0000, 0.0000], [-1.5139, 2.6221, 0.0000], [0.0000, 0.0000, 6.4481]],
  "species": ["Ni", "B", "B", "B", "B", "Ir"],
  "frac_coords": [[0.0000, 0.0000, 0.0000], [0.3333, 0.6667, 0.2360], [0.3333, 0.6667, 0.7640], [0.6667, 0.3333, 0.2360], [0.6667, 0.3333, 0.7640], [0.0000, 0.0000, 0.5000]],
  "dft_energy_ev_per_atom": -6.52,
  "total_magnetization_mub_per_atom": 0.0038,
  "de_polymorph_mev_per_atom": 90,
  "vol_a3_per_atom": 8.532
}

---

3.
{
  "formula": "NiB4Ir",
  "functional": "PBE",
  "state": "optimized geometry",
  "cell": [[-1.5158, 2.6294, 3.1734], [1.5158, -2.6294, 3.1734], [1.5158, 2.6294, -3.1734]],
  "species": ["Ni", "B", "B", "B", "B", "Ir"],
  "frac_coords": [[0.0000, 0.0000, 0.0000], [0.0773, 0.7391, 0.3382], [0.4009, 0.7391, 0.6618], [0.5991, 0.2609, 0.3382], [0.9227, 0.2609, 0.6618], [0.5000, 0.5000, 0.0000]],
  "dft_energy_ev_per_atom": -6.61,
  "total_magnetization_mub_per_atom": 0.0013,
  "de_polymorph_mev_per_atom": 0,
  "vol_a3_per_atom": 8.432
}

---

4.
{
  "formula": "NiBIrPt",
  "functional": "PBE",
  "state": "optimized geometry",
  "cell": [[0.0000, 2.9356, 2.9356], [2.9356, 0.0000, 2.9356], [2.9356, 2.9356, 0.0000]],
  "species": ["Ni", "B", "Ir", "Pt"],
  "frac_coords": [[0.0000, 0.0000, 0.0000], [0.7500, 0.7500, 0.7500], [0.2500, 0.2500, 0.2500], [0.5000, 0.5000, 0.5000]],
  "dft_energy_ev_per_atom": -6.05,
  "total_magnetization_mub_per_atom": 0.0555,
  "de_polymorph_mev_per_atom": 444,
  "vol_a3_per_atom": 12.649
}

---

Copy entry 4 word for word.
{
  "formula": "NiBIrPt",
  "functional": "PBE",
  "state": "optimized geometry",
  "cell": [[0.0000, 2.9356, 2.9356], [2.9356, 0.0000, 2.9356], [2.9356, 2.9356, 0.0000]],
  "species": ["Ni", "B", "Ir", "Pt"],
  "frac_coords": [[0.0000, 0.0000, 0.0000], [0.7500, 0.7500, 0.7500], [0.2500, 0.2500, 0.2500], [0.5000, 0.5000, 0.5000]],
  "dft_energy_ev_per_atom": -6.05,
  "total_magnetization_mub_per_atom": 0.0555,
  "de_polymorph_mev_per_atom": 444,
  "vol_a3_per_atom": 12.649
}